# 1
Entry from Alexandria: a relaxed structure of Tm2ScNi (PBE).

- Polymorph energy (0 for the lowest one): 0.84 eV/f.u.
- Symmetry: No. 166

Structure (POSCAR):
```
Tm2ScNi
1.0
3.4925 0.0000 0.0000
1.7463 3.0246 0.0000
1.7463 1.0082 9.1707
Tm Sc Ni
2 1 1
Cartesian
5.2388 3.0246 7.3709
1.7463 1.0082 1.7998
3.4925 2.0164 4.5854
0.0000 0.0000 0.0000
```

# 2
Entry from Alexandria: a relaxed structure of PrPtRh (PBE).

- Polymorph energy (0 for the lowest one): 0.23 eV/f.u.
- Symmetry: No. 187

Structure (POSCAR):
```
PrPtRh
1.0
-2.1242 -3.2760 -0.6854
1.1547 0.1374 -4.2357
2.4747 -2.2073 2.8805
Rh Pr Pt
1 1 1
Cartesian
1.6805 -1.9719 0.3942
0.1787 -2.8280 -2.3205
-0.3540 -0.5459 -0.1142
```

# 3
Entry from Alexandria: a relaxed structure of Rb2TlPbBr5 (PBE).

- Symmetry: No. 36
- E_form (uncorrected): -11.36 eV/f.u.

Structure (POSCAR):
```
Rb2TlPbBr5
1.0
4.6700 0.0000 0.0000
-2.3350 10.0409 0.0000
0.0000 0.0000 16.0813
Tl Br Pb Rb
2 10 2 4
Cartesian
0.0000 9.0181 7.1858
2.3350 1.0228 15.2265
2.3350 8.2211 9.2492
2.3350 0.1265 4.2249
2.3350 2.3051 7.8745
0.0000 7.7358 15.9152
2.3350 5.0401 2.6252
2.3350 4.3403 14.6302
0.0000 1.8198 1.2085
0.0000 5.7006 6.5895
0.0000 5.0008 10.6659
0.0000 9.9144 12.2655
0.0000 4.7723 0.5459
2.3350 5.2685 8.5865
0.0000 2.6708 4.7358
2.3350 7.3701 12.7765
0.0000 1.5239 10.4231
2.3350 8.5169 2.3824
```

Number 1: magnetization 0.00 Bohr magnetons per cell, V 96.9 Å³ per cell, DOS(E_F) 1.13 states/eV/atom. Number 2: magnetization 0.00 Bohr magnetons per cell, V 66.2 Å³ per cell, DOS(E_F) 0.52 states/eV/atom. Number 3: magnetization 0.00 Bohr magnetons per cell, V 754.1 Å³ per cell, DOS(E_F) 0.00 states/eV/atom.